1.
Below is an optimized crystal structure of AcScTe2, with properties calculated at the PBE level.

a = 4.5151 Å, b = 4.5151 Å, c = 12.6106 Å
α = 90.00°, β = 90.00°, γ = 90.00°
Last column: nearest neighbours and their distance in Å.
Fractional positions:
Ac  0.2500  0.2500  0.1140  6 Te 3.23-3.40
Ac  0.7500  0.7500  0.8860  6 Te 3.23-3.40
Sc  0.2500  0.2500  0.6111  6 Te 2.88-3.19
Sc  0.7500  0.7500  0.3889  6 Te 2.88-3.19
Te  0.2500  0.2500  0.3824  5 Sc 2.88-3.19
Te  0.2500  0.2500  0.8448  1 Sc 2.95, 4 Ac 3.23
Te  0.7500  0.7500  0.1552  1 Sc 2.95, 4 Ac 3.23
Te  0.7500  0.7500  0.6176  5 Sc 2.88-3.19

Calculated values
ΔE_f (raw)   -4.74 eV per formula unit
Relative energy among the computed polymorphs   104 meV/atom



2.
Below is an optimized crystal structure of Nd2Y5Ho5, with properties calculated at the PBE level.

a = 7.9797 Å, b = 7.9797 Å, c = 11.2924 Å
α = 115.08°, β = 115.08°, γ = 36.89°
Last column: nearest neighbours and their distance in Å.
Fractional positions:
Nd  0.0834  0.0834  0.2487  7 Y 3.56-3.59, 5 Ho 3.57-3.58
Nd  0.9166  0.9166  0.7513  7 Y 3.56-3.59, 5 Ho 3.57-3.58
Y  0.3337  0.3337  0.4998  4 Y 3.56-3.58, 5 Ho 3.56-3.59, 3 Nd 3.58
Y  0.4153  0.4153  0.2494  7 Ho 3.54-3.58, 3 Y 3.56-3.58, 2 Nd 3.59
Y  0.5000  0.5000  0.0000  4 Nd 3.56, 2 Y 3.58, 6 Ho 3.58
Y  0.5847  0.5847  0.7506  7 Ho 3.54-3.58, 3 Y 3.56-3.58, 2 Nd 3.59
Y  0.6663  0.6663  0.5002  4 Y 3.56-3.58, 5 Ho 3.56-3.59, 3 Nd 3.58
Ho  0.0000  0.0000  0.5000  2 Ho 3.56, 8 Y 3.56-3.58, 2 Nd 3.58
Ho  0.1680  0.1680  0.0005  5 Y 3.54-3.58, 5 Ho 3.54-3.56, 2 Nd 3.57-3.58
Ho  0.2491  0.2491  0.7505  6 Y 3.55-3.59, 4 Ho 3.55-3.56, 2 Nd 3.58
Ho  0.7509  0.7509  0.2495  6 Y 3.55-3.59, 4 Ho 3.55-3.56, 2 Nd 3.58
Ho  0.8320  0.8320  0.9995  5 Y 3.54-3.58, 5 Ho 3.54-3.56, 2 Nd 3.57-3.58

Calculated values
E_form   0.023 eV/atom
Relative energy among the computed polymorphs   0 meV/atom



3.
Below is an optimized crystal structure of ZnCd2Co2, with properties calculated at the PBE level.

a = 8.6746 Å, b = 8.6746 Å, c = 8.6746 Å
α = 158.55°, β = 158.55°, γ = 30.52°
Last column: nearest neighbours and their distance in Å.
Fractional positions:
Zn  0.0000  0.0000  0.0000  8 Cd 2.96, 4 Zn 3.23
Cd  0.3872  0.3872  0.0000  4 Co 2.81, 4 Zn 2.96
Cd  0.6128  0.6128  0.0000  4 Co 2.81, 4 Zn 2.96
Co  0.2500  0.7500  0.5000  4 Co 2.28
Co  0.7500  0.2500  0.5000  4 Co 2.28

Calculated values
E_form   0.343 eV/atom
Relative energy among the computed polymorphs   153 meV/atom



4.
Below is an optimized crystal structure of Fe2CuW, with properties calculated at the PBE level.

a = 4.5653 Å, b = 4.5653 Å, c = 4.5653 Å
α = 133.27°, β = 133.27°, γ = 68.23°
Last column: nearest neighbours and their distance in Å.
Fractional positions:
Fe  0.0000  0.0000  0.0000  4 W 2.56, 4 Fe 2.62, 4 Cu 2.62
Fe  0.7500  0.2500  0.5000  4 Cu 2.56, 4 W 2.62, 4 Fe 2.62
Cu  0.2500  0.7500  0.5000  8 Fe 2.56-2.62, 4 W 2.62
W  0.5000  0.5000  0.0000  8 Fe 2.56-2.62, 4 Cu 2.62

Calculated values
E_form   0.197 eV/atom
Relative energy among the computed polymorphs   28 meV/atom



5.
Below is an optimized crystal structure of RbCd3Sb3, with properties calculated at the PBE level.

a = 10.6722 Å, b = 10.6722 Å, c = 10.6722 Å
α = 43.20°, β = 43.20°, γ = 43.20°
Last column: nearest neighbours and their distance in Å.
Fractional positions:
Rb  0.1668  0.1668  0.1668  6 Sb 3.79
Rb  0.8332  0.8332  0.8332  6 Sb 3.79
Cd  0.0230  0.3652  0.7019  4 Sb 2.90-2.99, 3 Cd 3.13-3.17
Cd  0.2981  0.9770  0.6348  4 Sb 2.90-2.99, 3 Cd 3.13-3.17
Cd  0.3652  0.7019  0.0230  4 Sb 2.90-2.99, 3 Cd 3.13-3.17
Cd  0.6348  0.2981  0.9770  4 Sb 2.90-2.99, 3 Cd 3.13-3.17
Cd  0.7019  0.0230  0.3652  4 Sb 2.90-2.99, 3 Cd 3.13-3.17
Cd  0.9770  0.6348  0.2981  4 Sb 2.90-2.99, 3 Cd 3.13-3.17
Sb  0.0804  0.7335  0.4058  4 Cd 2.90-2.99
Sb  0.2665  0.5942  0.9196  4 Cd 2.90-2.99
Sb  0.4058  0.0804  0.7335  4 Cd 2.90-2.99
Sb  0.5942  0.9196  0.2665  4 Cd 2.90-2.99
Sb  0.7335  0.4058  0.0804  4 Cd 2.90-2.99
Sb  0.9196  0.2665  0.5942  4 Cd 2.90-2.99

Calculated values
ΔE_f (raw)   -0.69 eV per formula unit
Relative energy among the computed polymorphs   12 meV/atom



6.
Below is an optimized crystal structure of Co3SiH, with properties calculated at the PBE level.

a = 4.6528 Å, b = 4.6528 Å, c = 5.0708 Å
α = 90.00°, β = 90.00°, γ = 117.56°
Last column: nearest neighbours and their distance in Å.
Fractional positions:
Co  0.0000  0.0000  0.0000  2 H 1.68
Co  0.0000  0.0000  0.5000  2 H 1.68
Co  0.0324  0.4739  0.7500  1 H 1.63
Co  0.4739  0.0324  0.2500  1 H 1.63
Co  0.5261  0.9676  0.7500  1 H 1.63
Co  0.9676  0.5261  0.2500  1 H 1.63
Si  0.4636  0.5364  0.2500  4 Co 2.29-2.37, 2 H 2.55
Si  0.5364  0.4636  0.7500  4 Co 2.29-2.37, 2 H 2.55
H  0.1388  0.8612  0.7500  4 Co 1.63-1.68
H  0.8612  0.1388  0.2500  4 Co 1.63-1.68

Calculated values
Relative energy among the computed polymorphs   352 meV/atom



7.
Below is an optimized crystal structure of KBaTa2, with properties calculated at the PBE level.

a = 6.7606 Å, b = 6.7606 Å, c = 2.9701 Å
α = 90.00°, β = 90.00°, γ = 128.27°
Last column: nearest neighbours and their distance in Å.
Fractional positions:
K  0.0000  0.0000  0.0000  2 Ba 2.95, 2 K 2.97
Ba  0.5000  0.5000  0.0000  2 K 2.95, 2 Ba 2.97
Ta  0.0000  0.5000  0.5000  4 Ta 2.95-2.97
Ta  0.5000  0.0000  0.5000  4 Ta 2.95-2.97

Calculated values
E_form   1.479 eV/atom
Relative energy among the computed polymorphs   755 meV/atom



8.
Below is an optimized crystal structure of LiLa2MgO, with properties calculated at the PBE level.

a = 5.0652 Å, b = 5.0652 Å, c = 4.5582 Å
α = 90.00°, β = 90.00°, γ = 90.00°
Last column: nearest neighbours and their distance in Å.
Fractional positions:
Li  0.0000  0.0000  0.0000  2 O 2.28
La  0.0000  0.5000  0.5000  2 O 2.53
La  0.5000  0.0000  0.5000  2 O 2.53
Mg  0.5000  0.5000  0.0000  8 La 3.41, 4 Li 3.58
O  0.0000  0.0000  0.5000  2 Li 2.28, 4 La 2.53

Calculated values
ΔE_f (raw)   -5.48 eV per formula unit



Copy entry 3 word for word.
Below is an optimized crystal structure of ZnCd2Co2, with properties calculated at the PBE level.

a = 8.6746 Å, b = 8.6746 Å, c = 8.6746 Å
α = 158.55°, β = 158.55°, γ = 30.52°
Last column: nearest neighbours and their distance in Å.
Fractional positions:
Zn  0.0000  0.0000  0.0000  8 Cd 2.96, 4 Zn 3.23
Cd  0.3872  0.3872  0.0000  4 Co 2.81, 4 Zn 2.96
Cd  0.6128  0.6128  0.0000  4 Co 2.81, 4 Zn 2.96
Co  0.2500  0.7500  0.5000  4 Co 2.28
Co  0.7500  0.2500  0.5000  4 Co 2.28

Calculated values
E_form   0.343 eV/atom
Relative energy among the computed polymorphs   153 meV/atom